{"formula": "Pm4In8Cu", "functional": "GGA-PBE", "state": "optimized geometry", "lattice": [[-0.303, 3.667, 2.818], [-0.312, -2.874, 3.707], [15.690, 0.178, 1.458]], "species": ["In", "Pm", "In", "In", "Pm", "Pm", "In", "In", "In", "In", "Cu", "In", "Pm"], "fractional_positions": [[0.000, 0.500, 0.225], [0.500, 0.500, 0.402], [0.500, 0.500, 0.762], [0.000, 0.500, 0.914], [0.000, 0.000, 0.079], [0.000, 0.500, 0.610], [0.000, 0.000, 0.464], [0.500, 0.500, 0.073], [0.500, 0.000, 0.228], [0.500, 0.000, 0.581], [0.000, 0.000, 0.303], [0.000, 0.000, 0.755], [0.500, 0.000, 0.910]], "magmom_total_mub_per_cell": 0.0, "crystal_system": "orthorhombic", "formation_enthalpy_0k_mev_per_atom": -346}